A plane-wave DFT calculation with PBE was carried out for an optimized crystal structure of Pm3Dy3Tl.

a = 5.613 Å, b = 9.512 Å, c = 9.511 Å
α = 120.02°, β = 90.00°, γ = 90.00°
Sites, in units of the cell vectors:
Dy 0.750 0.177 0.940
Dy 0.250 0.939 0.762
Pm 0.750 0.476 0.369
Pm 0.750 0.893 0.524
Dy 0.250 0.823 0.060
Tl 0.750 0.333 0.667
Dy 0.250 0.237 0.177
Tl 0.250 0.667 0.333
Dy 0.750 0.763 0.823
Pm 0.250 0.524 0.631
Pm 0.750 0.631 0.107
Pm 0.250 0.369 0.893
Pm 0.250 0.107 0.476
Dy 0.750 0.061 0.238

Computed properties:
- E_form (eV/atom) = -0.07
- M_tot (μB/f.u.) = 0.0